{"formula": "Li2TaCd", "functional": "PBE-GGA", "state": "optimized geometry", "lattice_angstrom": [[2.871, 0.000, 0.000], [0.000, 2.871, 0.000], [0.000, 0.000, 8.625]], "species": ["Li", "Li", "Ta", "Cd"], "frac_coords": [[0.000, 0.000, 0.000], [0.500, 0.500, 0.241], [0.000, 0.000, 0.488], [0.500, 0.500, 0.759]], "sg": "P4mm", "energy_ev_per_cell": -15.75, "crystal_system": "tetragonal", "formation_enthalpy_0k_ev_per_atom": 0.21}